AgSbS | Alexandria via LeMat-Bulk | PBE | optimized geometry; symmetry = P3m1 (156); ΔE_f (raw) = 5 kJ/mol of atoms
1.0
3.8189 0.0000 0.0000
-1.9094 3.3073 0.0000
0.0000 0.0000 5.2235
S Ag Sb
1 1 1
direct
0.3333 0.6667 0.6782
0.0000 0.0000 0.9819
0.6667 0.3333 0.3400

CeHoSi2Pt5 | Alexandria via LeMat-Bulk | PBE | optimized geometry; symmetry = P4/mmm (123); ΔE_f (raw) = -100 kJ/mol of atoms
1.0
-3.1685 -2.0238 1.9315
2.1727 -3.6185 -0.2273
3.7424 1.7464 7.9688
Pt Ho Si Ce
5 1 2 1
direct
0.5000 0.0000 0.7381
0.0000 0.5000 0.2619
0.0000 0.5000 0.7381
0.5000 0.5000 0.5000
0.5000 0.0000 0.2619
0.0000 0.0000 0.0000
0.5000 0.5000 0.1302
0.5000 0.5000 0.8698
0.0000 0.0000 0.5000

CaCd2Re | Alexandria via LeMat-Bulk | PBE | optimized geometry; symmetry = P2/m (10); VASP energy = -3.6601 eV/atom
1.0
-2.5898 0.7558 -3.5512
-1.1202 -2.6975 0.2429
-5.6402 -0.5506 3.9961
Cd Re Ca
2 1 1
direct
0.0000 0.5304 0.4719
0.0000 0.9696 0.0281
0.5000 0.2500 0.2500
0.5000 0.7500 0.7500

Al2IrSe | Alexandria via LeMat-Bulk | PBE | optimized geometry; symmetry = Cm (8); ΔE_f (raw) = -24 kJ/mol of atoms
1.0
-3.3377 3.4298 -1.7313
-4.7398 0.7866 -1.6783
-2.3285 1.3112 3.7933
Se Ir Al
1 1 2
direct
0.2149 0.2149 0.2094
0.5096 0.5096 0.5804
0.9921 0.9921 0.0411
0.7835 0.7835 0.6691

Ac8Ge3Pb2 | Alexandria via LeMat-Bulk | PBE | optimized geometry; symmetry = C2/m (12); VASP energy = -4.5481 eV/atom
1.0
7.8067 0.0000 0.2903
0.0000 8.9056 0.0000
-2.8265 -4.4528 8.0708
Pb Ge Ac
2 3 8
direct
0.3308 0.2499 0.4997
0.6692 0.7501 0.5003
0.0000 0.7437 0.0000
0.5000 0.0000 0.0000
0.0000 0.2563 0.0000
0.8957 0.6073 0.2147
0.4020 0.8588 0.2163
0.0926 0.8902 0.7804
0.5980 0.6425 0.7837
0.5980 0.1412 0.7837
0.9074 0.1098 0.2196
0.4020 0.3575 0.2163
0.1043 0.3927 0.7853

TmPuHg2 | Alexandria via LeMat-Bulk | PBE | optimized geometry; symmetry = P4/mmm (123); VASP energy = -5.1348 eV/atom
1.0
3.6293 0.0000 0.0000
0.0000 3.6293 0.0000
0.0000 0.0000 7.7804
Hg Tm Pu
2 1 1
direct
0.0000 0.0000 0.7687
0.0000 0.0000 0.2313
0.5000 0.5000 0.0000
0.5000 0.5000 0.5000

Ca3Ge4Rh2 | Alexandria via LeMat-Bulk | PBE | optimized geometry; symmetry = C2/m (12); VASP energy = -5.0609 eV/atom
1.0
4.3454 0.0007 0.0001
2.1718 5.3389 1.2904
-0.0002 0.4572 8.2681
Ca Rh Ge
3 2 4
direct
0.6145 0.7711 0.6943
0.3855 0.2289 0.3057
0.0000 0.0000 0.0000
0.6901 0.6198 0.3642
0.3099 0.3802 0.6358
0.8984 0.2033 0.5922
0.1016 0.7967 0.4078
0.7248 0.5503 0.0806
0.2752 0.4497 0.9194

Gd3Te | Alexandria via LeMat-Bulk | PBE | optimized geometry; symmetry = I4/mmm (139); ΔE_f (raw) = -45 kJ/mol of atoms
1.0
4.6917 0.0000 0.0000
0.0000 4.6917 0.0000
-2.3458 -2.3458 5.3225
Gd Te
3 1
direct
0.5000 0.5000 0.0000
0.2500 0.7500 0.5000
0.7500 0.2500 0.5000
0.0000 0.0000 0.0000

Tl2SbTeS4 | Alexandria via LeMat-Bulk | PBE | optimized geometry; symmetry = P2/m (10); ΔE_f (raw) = -15 kJ/mol of atoms
1.0
-3.2018 2.1143 0.9651
-4.4457 -5.5045 -2.6899
-1.5827 -4.9314 5.5524
Sb S Tl Te
1 4 2 1
direct
0.0000 0.5000 0.5000
0.5000 0.7274 0.2913
0.0000 0.6881 0.7712
0.5000 0.2726 0.7087
0.0000 0.3119 0.2288
0.5000 0.0000 0.5000
0.0000 0.0000 0.0000
0.5000 0.5000 0.0000

LiDyCd3 | Alexandria via LeMat-Bulk | PBE | optimized geometry; symmetry = P6_3/mmc (194); VASP energy = -2.0343 eV/atom
1.0
-0.4690 -2.9324 -4.6450
4.7141 -4.3517 2.2712
-6.5783 -1.0969 1.3568
Dy Li Cd
2 2 6
direct
0.2500 0.3334 0.6666
0.7500 0.6666 0.3334
0.0000 0.0000 0.0000
0.5000 0.0000 0.0000
0.7500 0.1882 0.8118
0.2500 0.3763 0.1882
0.7500 0.6237 0.8118
0.7500 0.1882 0.3763
0.2500 0.8118 0.6237
0.2500 0.8118 0.1882

CdInAu5 | Alexandria via LeMat-Bulk | PBE | optimized geometry; symmetry = Cmmm (65); VASP energy = -2.9651 eV/atom
1.0
5.0989 -0.1058 -0.0001
-1.7593 4.7870 0.0000
0.0000 0.0000 5.9130
Au In Cd
5 1 1
direct
0.0000 0.5000 0.2410
0.5000 0.0000 0.2410
0.0000 0.0000 0.5000
0.0000 0.5000 0.7590
0.5000 0.0000 0.7590
0.5000 0.5000 0.5000
0.0000 0.0000 0.0000

Ba3AcAg4 | Alexandria via LeMat-Bulk | PBE | optimized geometry; symmetry = P4/mmm (123); VASP energy = -2.8970 eV/atom
1.0
-2.4733 1.2239 -2.9930
0.5978 -3.5302 -1.9375
-12.8189 -6.5210 7.9261
Ac Ba Ag
1 3 4
direct
0.5000 0.5000 0.0000
0.5000 0.5000 0.7536
0.5000 0.5000 0.5000
0.5000 0.5000 0.2464
0.0000 0.0000 0.6260
0.0000 0.0000 0.8925
0.0000 0.0000 0.1075
0.0000 0.0000 0.3740

no.,N(E_F) (states/eV per cell)
1,1.61
2,6.70
3,3.89
4,1.41
5,11.01
6,9.38
7,4.36
8,5.36
9,2.21
10,3.99
11,2.06
12,7.08